1.
This record from Alexandria via LeMat-Bulk describes a relaxed structure of Sr2Ge3Pt5. The functional is PBE.

Energy of formation (eV per atom): -0.54
Energy above the most stable polymorph in this dataset (eV/f.u.): 2.33
D(E_F) (states/eV/cell): 7.56
Total DFT energy (no corrections) (eV per atom): -5.286

abc: 4.260 4.260 11.292
angles: 90.00 90.00 90.00
Element x y z (fractional)
Sr  0.500  0.000  0.227
Sr  0.000  0.500  0.773
Ge  0.500  0.000  0.634
Ge  0.000  0.500  0.366
Ge  0.000  0.000  0.500
Pt  0.500  0.500  0.000
Pt  0.000  0.000  0.000
Pt  0.500  0.000  0.845
Pt  0.000  0.500  0.155
Pt  0.500  0.500  0.500



2.
This record from Alexandria via LeMat-Bulk describes a relaxed structure of Pu2IrCl. The functional is PBE.

ΔE_f (raw) (eV per atom): -0.82
Energy above the most stable polymorph in this dataset (eV/f.u.): 0.10
D(E_F) (states/eV/cell): 14.22
Total DFT energy (no corrections) (eV per atom): -10.662

abc: 3.378 3.378 7.840
angles: 90.00 90.00 90.00
Element x y z (fractional)
Cl  0.500  0.500  0.500
Ir  0.500  0.500  0.000
Pu  0.000  0.000  0.781
Pu  0.000  0.000  0.219



Question: Which of these has the lowest D(E_F)?
Answer: Sr2Ge3Pt5